Entry 1:
MgTaPdAu: relaxed, GGA-PBE.

```
MgTaPdAu
1.0
6.499 0.000 0.000
0.000 6.499 0.000
0.000 0.000 6.499
Mg Ta Pd Au
4 4 4 4
direct
0.000 0.000 0.000
0.000 0.500 0.500
0.500 0.000 0.500
0.500 0.500 0.000
0.000 0.000 0.500
0.000 0.500 0.000
0.500 0.000 0.000
0.500 0.500 0.500
0.250 0.250 0.250
0.250 0.750 0.750
0.750 0.250 0.750
0.750 0.750 0.250
0.250 0.250 0.750
0.250 0.750 0.250
0.750 0.250 0.250
0.750 0.750 0.750
```

Calculated values
* calculated density: 12.31 g/cm³
* total energy: -91.62 eV for the cell shown
* volume: 274.52 Å³/cell


Entry 2:
MgTaPdAu: relaxed, GGA-PBE.

```
MgTaPdAu
1.0
6.449 0.000 0.000
0.000 6.449 0.000
0.000 0.000 6.449
Mg Ta Pd Au
4 4 4 4
direct
0.000 0.000 0.000
0.000 0.500 0.500
0.500 0.000 0.500
0.500 0.500 0.000
0.250 0.250 0.750
0.250 0.750 0.250
0.750 0.250 0.250
0.750 0.750 0.750
0.250 0.250 0.250
0.250 0.750 0.750
0.750 0.250 0.750
0.750 0.750 0.250
0.000 0.000 0.500
0.000 0.500 0.000
0.500 0.000 0.000
0.500 0.500 0.500
```

Calculated values
* calculated density: 12.60 g/cm³
* total energy: -88.13 eV for the cell shown
* volume: 268.15 Å³/cell


Results for relative energy among the computed polymorphs: 0.00 0.87 (in eV/f.u., following the order of the records).